Record 1
Density functional theory data (SCAN) for a crystal of Ba2MgP relaxed with PBEsol.

Cell and atoms, written as POSCAR:
```
Ba2MgP
1.0
-0.7971 -4.0041 -1.3984
3.3243 0.2939 -2.7361
4.1548 -2.4964 4.7797
Ba Mg P
2 1 1
direct
0.0000 0.0000 0.9520 Ba
0.5000 0.5000 0.2804 Ba
0.0000 0.0000 0.5108 Mg
0.5000 0.5000 0.7567 P
```

Computed properties:
* ΔE_f: -0.211 eV/atom
* M_tot: 0.000 μB/atom
* polymorph energy (0 for the lowest one): 119 meV per atom
* SG: No. 99


Record 2
Density functional theory data (SCAN) for a crystal of Ba2MgP relaxed with PBEsol.

Cell and atoms, written as POSCAR:
```
Ba2MgP
1.0
3.8322 0.0796 0.0000
-0.3737 3.8148 0.0000
0.0000 0.0000 9.4047
Ba Mg P
2 1 1
direct
0.0000 0.0000 0.0981 Ba
0.5000 0.5000 0.6731 Ba
0.0000 0.0000 0.4223 Mg
0.5000 0.5000 0.3065 P
```

Computed properties:
* ΔE_f: -0.330 eV/atom
* M_tot: 0.247 μB/atom
* polymorph energy (0 for the lowest one): 0 meV per atom
* SG: No. 35


Record 3
Density functional theory data (SCAN) for a crystal of BaMg2P relaxed with PBEsol.

Cell and atoms, written as POSCAR:
```
BaMg2P
1.0
4.3403 0.0000 0.0000
-2.1702 3.7356 -0.0720
0.0000 -2.3903 7.0759
Ba Mg P
1 2 1
direct
0.2361 0.4721 0.7063 Ba
0.0260 0.0520 0.0757 Mg
0.7701 0.5401 0.3115 Mg
0.4679 0.9358 0.4065 P
```

Computed properties:
* ΔE_f: -0.421 eV/atom
* M_tot: 0.000 μB/atom
* SG: No. 8


Record 4
Density functional theory data (SCAN) for a crystal of BaMg2P2 relaxed with PBEsol.

Cell and atoms, written as POSCAR:
```
BaMg2P2
1.0
4.3512 0.0000 0.0000
-2.1756 3.7682 0.0000
0.0000 0.0000 7.5294
P Mg Ba
2 2 1
direct
0.6667 0.3333 0.7254 P
0.3333 0.6667 0.2746 P
0.6667 0.3333 0.3763 Mg
0.3333 0.6667 0.6237 Mg
0.0000 0.0000 0.0000 Ba
```

Computed properties:
* ΔE_f: -1.096 eV/atom
* M_tot: 0.000 μB/atom
* SG: No. 164


Record 5
Density functional theory data (SCAN) for a crystal of BaMgPS2 relaxed with PBEsol.

Cell and atoms, written as POSCAR:
```
BaMgPS2
1.0
-2.6614 -2.6892 4.0178
2.4640 -4.7472 -1.5453
4.2090 1.0486 3.4899
Mg P S Ba
1 1 2 1
direct
0.5000 0.5000 0.5000 Mg
0.5000 0.0000 0.0000 P
0.0000 0.0000 0.5000 S
0.0000 0.5000 0.0000 S
0.0000 0.0000 0.0000 Ba
```

Computed properties:
* energy: -14.224 eV/atom
* M_tot: 0.001 μB/atom
* SG: No. 123


Record 6
Density functional theory data (SCAN) for a crystal of BaMgPb relaxed with PBEsol.

Cell and atoms, written as POSCAR:
```
BaMgPb
1.0
-2.5621 -2.7852 -0.8382
2.8582 -2.6179 -0.0379
-1.0572 1.6164 6.8225
Ba Mg Pb
1 1 1
direct
0.0025 0.0025 0.0049 Ba
0.3059 0.3059 0.6118 Mg
0.6917 0.6917 0.3833 Pb
```

Computed properties:
* ΔE_f: -0.366 eV/atom
* M_tot: 0.000 μB/atom
* SG: No. 107